First-principles (PBE+U) data for Cr3Co3Sb2O16 after structural relaxation, as listed in Alexandria.

Structure (POSCAR):
```
Cr3Co3Sb2O16
1.0
5.783 0.000 0.000
2.867 5.028 0.000
0.173 0.087 9.238
Cr Co Sb O
3 3 2 16
Direct
0.000 0.000 0.000
0.006 0.505 0.019
0.173 0.168 0.503
0.494 0.504 0.006
0.670 0.168 0.511
0.674 0.677 0.509
0.194 0.663 0.287
0.513 0.989 0.783
0.013 0.006 0.398
0.015 0.498 0.403
0.170 0.659 0.901
0.175 0.161 0.899
0.324 0.815 0.124
0.325 0.368 0.136
0.360 0.854 0.627
0.365 0.297 0.631
0.524 0.004 0.406
0.533 0.494 0.393
0.675 0.163 0.900
0.679 0.653 0.893
0.808 0.855 0.627
0.827 0.335 0.602
0.829 0.341 0.099
0.883 0.815 0.138
```

## Properties
Its calculated volume is 11.19 Å³/atom. Its size of the total moment is 0.20 μB/atom. Its space group is P1. For the energy, the calculation gives -154.21 eV per cell.